No. 1
# BaPm2Cd2Sn2

BaPm2Cd2Sn2 after structural relaxation (PBE, Alexandria).

abc: 5.1183 5.1183 29.2682
angles: 90.00 90.00 120.00
Space group R-3m (No. 166, hexagonal axes)
One atom of each set of equivalent atoms:
Ba 0.0000 0.0000 0.0000
Pm 0.0000 0.0000 0.1347
Cd 0.0000 0.0000 0.4307
Sn 0.0000 0.0000 0.2555

Values from the calculation:
Size of the total moment (Bohr magnetons per cell): 0.23
Electronic total energy (eV per formula unit): -23.92
Formation enthalpy at 0 K (meV/atom): -380

=====

No. 2
# CeAsBrO4

CeAsBrO4 after structural relaxation (PBE, Alexandria).

abc: 10.414 7.126 6.847
angles: 90.00 105.40 90.00
Space group C2/m (No. 12)
One atom of each set of equivalent atoms:
Ce 0.244 0.000 0.146
As 0.135 0.500 0.266
Br 0.017 0.000 0.761
O 0.033 0.500 0.780
O 0.193 0.316 0.146
O 0.210 0.500 0.520

Values from the calculation:
Size of the total moment (Bohr magnetons per cell): 0.60
Electronic total energy (eV per formula unit): -46.00
Energy relative to the elements, uncorrected (eV per atom): -1.9880

=====

No. 3
# MgCdHg

MgCdHg after structural relaxation (PBE, Alexandria).

abc: 6.732 6.732 6.732
angles: 90.00 90.00 90.00
Space group F-43m (No. 216)
One atom of each set of equivalent atoms:
Mg 0.000 0.000 0.000
Cd 0.250 0.250 0.250
Hg 0.250 0.250 0.750

Values from the calculation:
Size of the total moment (Bohr magnetons per cell): 0.00
Electronic total energy (eV per formula unit): -2.75
Formation enthalpy at 0 K (meV/atom): 20

=====

No. 4
# Rb3Pr2SnSe6

Rb3Pr2SnSe6 after structural relaxation (PBE, Alexandria).

abc: 7.574 13.121 8.404
angles: 90.00 107.50 90.00
Space group C2/m (No. 12)
One atom of each set of equivalent atoms:
Rb 0.000 0.000 0.000
Rb 0.000 0.333 0.000
Pr 0.000 0.167 0.500
Sn 0.000 0.500 0.500
Se 0.229 0.337 0.699
Se 0.241 0.000 0.700

Values from the calculation:
Size of the total moment (Bohr magnetons per cell): 0.00
Electronic total energy (eV per formula unit): -53.81
Energy relative to the elements, uncorrected (eV per atom): -1.3698

=====

No. 5
# Al2AsBrCl

Al2AsBrCl after structural relaxation (PBE, Alexandria).

abc: 4.846 4.846 6.070
angles: 90.00 90.00 90.00
Space group P4/mmm (No. 123)
One atom of each set of equivalent atoms:
Al 0.000 0.500 0.000
As 0.000 0.000 0.500
Br 0.500 0.500 0.500
Cl 0.500 0.500 0.000

Values from the calculation:
Size of the total moment (Bohr magnetons per cell): 0.00
Electronic total energy (eV per formula unit): -12.12
Energy relative to the elements, uncorrected (eV per atom): 0.7077

=====

No. 6
# Mo2C

Mo2C after structural relaxation (PBE, Alexandria).

abc: 4.1547 4.1547 4.9388
angles: 90.00 90.00 120.00
Space group P6_3/mmc (No. 194)
One atom of each set of equivalent atoms:
Mo 0.0000 0.0000 0.0000
Mo 0.3333 0.6667 0.2500
C 0.3333 0.6667 0.7500

Values from the calculation:
Size of the total moment (Bohr magnetons per cell): 0.00
Electronic total energy (eV per formula unit): -27.74
Formation enthalpy at 0 K (meV/atom): 1050

=====

No. 7
# ScHg2Rh

ScHg2Rh after structural relaxation (PBE, Alexandria).

abc: 3.645 3.645 5.795
angles: 90.00 90.00 90.00
Space group P4/mmm (No. 123)
One atom of each set of equivalent atoms:
Sc 0.000 0.000 0.000
Hg 0.500 0.500 0.259
Rh 0.000 0.000 0.500

Values from the calculation:
Size of the total moment (Bohr magnetons per cell): 0.00
Electronic total energy (eV per formula unit): -15.19
Formation enthalpy at 0 K (meV/atom): -225

=====

No. 8
# Tb5Ho4Tm

Tb5Ho4Tm after structural relaxation (PBE, Alexandria).

abc: 3.536 6.762 13.793
angles: 97.67 90.05 105.08
Space group P-1 (No. 2)
One atom of each set of equivalent atoms:
Tb 0.000 0.000 0.000
Tb 0.048 0.083 0.383
Tb 0.310 0.625 0.415
Ho 0.351 0.671 0.792
Ho 0.425 0.797 0.191
Tm 0.000 0.500 0.000

Values from the calculation:
Size of the total moment (Bohr magnetons per cell): 0.00
Electronic total energy (eV per formula unit): -45.35
Formation enthalpy at 0 K (meV/atom): 58